<one>
{
  "formula": "Mn3VNi",
  "functional": "PBE",
  "state": "relaxed",
  "cell": [[-0.4360, 0.4677, 4.3942], [-2.1759, -3.8659, 0.1956], [3.8462, -2.1341, 0.6087]],
  "species": ["Mn", "Mn", "Mn", "Ni", "V"],
  "fractional_positions": [[0.0000, 0.5000, 0.0000], [0.0000, 0.0000, 0.5000], [0.5000, 0.0000, 0.0000], [0.0000, 0.0000, 0.0000], [0.5000, 0.5000, 0.5000]]
}

<two>
{
  "formula": "Mn3VNi",
  "functional": "PBE",
  "state": "relaxed",
  "cell": [[-3.1409, 2.9169, 0.5927], [-1.3076, -0.5781, -4.0841], [-2.6739, -3.1436, 1.3011]],
  "species": ["Ni", "V", "Mn", "Mn", "Mn"],
  "fractional_positions": [[0.5000, 0.5000, 0.5000], [0.0000, 0.0000, 0.0000], [0.5000, 0.0000, 0.0000], [0.0000, 0.0000, 0.5000], [0.0000, 0.5000, 0.0000]]
}

The structure shown above that is least stable: <two>.